Record 1
{
  "formula": "TePWCl2",
  "functional": "meta-GGA SCAN",
  "state": "PBEsol geometry",
  "lattice": [[4.9770, 0.0000, 0.0000], [0.0000, 4.9770, 0.0000], [0.0000, 0.0000, 5.3680]],
  "species": ["Te", "P", "W", "Cl", "Cl"],
  "fractional_positions": [[0.0000, 0.0000, 0.0000], [0.0000, 0.0000, 0.5000], [0.5000, 0.5000, 0.5000], [0.0000, 0.5000, 0.0000], [0.5000, 0.0000, 0.0000]],
  "volume_a3_per_fu": 132.97,
  "magmom_total_mub_per_cell": 4.35,
  "formation_energy_uncorrected_mev_per_atom": 1497,
  "sg": "No. 123"
}

Record 2
{
  "formula": "YTeP2Cl",
  "functional": "meta-GGA SCAN",
  "state": "PBEsol geometry",
  "lattice": [[5.0576, 0.0000, 0.0000], [0.0000, 5.0576, 0.0000], [0.0000, 0.0000, 4.9076]],
  "species": ["Y", "Te", "P", "P", "Cl"],
  "fractional_positions": [[0.0000, 0.0000, 0.0000], [0.5000, 0.5000, 0.5000], [0.0000, 0.5000, 0.5000], [0.5000, 0.0000, 0.5000], [0.5000, 0.5000, 0.0000]],
  "volume_a3_per_fu": 125.53,
  "magmom_total_mub_per_cell": 0.00,
  "formation_energy_uncorrected_mev_per_atom": 116,
  "sg": "No. 123"
}

Record 3
{
  "formula": "ZrTePCl2",
  "functional": "meta-GGA SCAN",
  "state": "PBEsol geometry",
  "lattice": [[4.7719, 0.0000, 0.0000], [0.0000, 4.7719, 0.0000], [0.0000, 0.0000, 5.4144]],
  "species": ["Zr", "Te", "P", "Cl", "Cl"],
  "fractional_positions": [[0.0000, 0.0000, 0.0000], [0.5000, 0.5000, 0.5000], [0.0000, 0.0000, 0.5000], [0.0000, 0.5000, 0.0000], [0.5000, 0.0000, 0.0000]],
  "volume_a3_per_fu": 123.29,
  "magmom_total_mub_per_cell": 0.00,
  "formation_energy_uncorrected_mev_per_atom": -601,
  "sg": "No. 123"
}

Record 4
{
  "formula": "TiTlPCl2",
  "functional": "meta-GGA SCAN",
  "state": "PBEsol geometry",
  "lattice": [[5.1145, 0.0000, 0.0000], [0.0000, 5.1145, 0.0000], [0.0000, 0.0000, 5.1828]],
  "species": ["Ti", "Tl", "P", "Cl", "Cl"],
  "fractional_positions": [[0.0000, 0.0000, 0.0000], [0.5000, 0.5000, 0.5000], [0.5000, 0.5000, 0.0000], [0.0000, 0.5000, 0.5000], [0.5000, 0.0000, 0.5000]],
  "volume_a3_per_fu": 135.57,
  "magmom_total_mub_per_cell": 1.69,
  "formation_energy_uncorrected_mev_per_atom": 318,
  "sg": "No. 123"
}

Record 5
{
  "formula": "TiZnPCl2",
  "functional": "meta-GGA SCAN",
  "state": "PBEsol geometry",
  "lattice": [[4.4915, 0.0000, 0.0000], [0.0000, 4.4915, 0.0000], [0.0000, 0.0000, 5.0628]],
  "species": ["Ti", "Zn", "P", "Cl", "Cl"],
  "fractional_positions": [[0.0000, 0.0000, 0.0000], [0.5000, 0.5000, 0.5000], [0.5000, 0.5000, 0.0000], [0.0000, 0.5000, 0.5000], [0.5000, 0.0000, 0.5000]],
  "volume_a3_per_fu": 102.14,
  "magmom_total_mub_per_cell": 1.29,
  "formation_energy_uncorrected_mev_per_atom": -7,
  "sg": "No. 123"
}

Record 6
{
  "formula": "TiZnP2Cl",
  "functional": "meta-GGA SCAN",
  "state": "PBEsol geometry",
  "lattice": [[4.7207, 0.0000, 0.0000], [0.0000, 4.7207, 0.0000], [0.0000, 0.0000, 4.6135]],
  "species": ["Ti", "Zn", "P", "P", "Cl"],
  "fractional_positions": [[0.0000, 0.0000, 0.0000], [0.5000, 0.5000, 0.5000], [0.0000, 0.5000, 0.0000], [0.5000, 0.0000, 0.0000], [0.0000, 0.0000, 0.5000]],
  "volume_a3_per_fu": 102.81,
  "magmom_total_mub_per_cell": 0.00,
  "formation_energy_uncorrected_mev_per_atom": -6,
  "sg": "No. 123"
}

Number 2 is which compound? YTeP2Cl